Record 1
VASP calculation (GGA-PBE) on SrHgP after structural relaxation.

Cell lengths 4.8229, 4.8229, 8.7526 Å; angles 90.00, 90.00, 120.00 degrees
With the nearest neighbours (Å) after each atom.
Positions (direct):
Sr 0.6667 0.3333 0.6290  6 P 2.94-3.10
Sr 0.0000 0.0000 0.3006  3 P 3.16, 4 Hg 3.41-3.46
Hg 0.0000 0.0000 0.9054  3 P 3.15, 3 Hg 3.16, 1 Sr 3.46
Hg 0.6667 0.3333 0.0764  3 Hg 3.16, 3 Sr 3.41
P 0.3333 0.6667 0.4720  1 P 2.33
P 0.3333 0.6667 0.7378  1 P 2.33

Energy of formation, eV/atom: -0.59
Energy above the lowest structure with this stoichiometry, eV per atom: 0.056
Calculated total energy, eV/atom: -3.06

---

Record 2
VASP calculation (GGA-PBE) on SrHgP after structural relaxation.

Cell lengths 4.4286, 4.2510, 8.8574 Å; angles 90.00, 100.95, 90.00 degrees
With the nearest neighbours (Å) after each atom.
Positions (direct):
Sr 0.8781 0.5000 0.6800  6 P 3.06-3.29
Sr 0.1219 0.5000 0.3200  6 P 3.06-3.29
Hg 0.5000 0.5000 0.0000  4 Hg 3.07
Hg 0.0000 0.0000 0.0000  4 Hg 3.07
P 0.3779 0.0000 0.5978  1 P 2.21
P 0.6221 0.0000 0.4022  1 P 2.21

Energy of formation, eV/atom: -0.61
Energy above the lowest structure with this stoichiometry, eV per atom: 0.040
Calculated total energy, eV/atom: -3.07

---

Record 3
VASP calculation (GGA-PBE) on SrHgP after structural relaxation.

Cell lengths 7.2701, 7.2701, 8.3644 Å; angles 112.06, 112.06, 97.80 degrees
With the nearest neighbours (Å) after each atom.
Positions (direct):
Sr 0.6553 0.6553 0.3106  4 P 3.04-3.07
Sr 0.3447 0.3447 0.6894  4 P 3.04-3.07
Sr 0.5947 0.0947 0.1894  4 P 3.04-3.07
Sr 0.9053 0.4053 0.8106  4 P 3.04-3.07
P 0.9818 0.4818 0.5000  2 Hg 2.59
P 0.7318 0.7318 0.0000  2 Hg 2.59
P 0.5182 0.0182 0.5000  2 Hg 2.59
P 0.2682 0.2682 0.0000  2 Hg 2.59
Hg 0.1250 0.3750 0.2500  2 P 2.59
Hg 0.1250 0.8750 0.7500  2 P 2.59
Hg 0.1250 0.8750 0.2500  2 P 2.59
Hg 0.6250 0.8750 0.7500  2 P 2.59

Energy of formation, eV/atom: -0.44
Energy above the lowest structure with this stoichiometry, eV per atom: 0.208
Calculated total energy, eV/atom: -2.91

---

Record 4
VASP calculation (GGA-PBE) on SrHg2P2 after structural relaxation.

Cell lengths 4.3367, 4.3367, 7.2035 Å; angles 72.48, 72.48, 90.00 degrees
With the nearest neighbours (Å) after each atom.
Positions (direct):
Sr 0.0000 0.0000 0.0000  8 P 3.25
Hg 0.7500 0.2500 0.5000  4 Hg 3.07, 4 P 3.08
Hg 0.2500 0.7500 0.5000  4 Hg 3.07, 4 P 3.08
P 0.4181 0.4181 0.1637  1 P 2.13
P 0.5819 0.5819 0.8363  1 P 2.13

Energy of formation, eV/atom: -0.29
Calculated total energy, eV/atom: -2.91